Record 1
Nb2H2Pd: relaxed, GGA-PBE.

Values from the calculation:
offset from the most stable computed form = 0.558 eV per atom
symmetry = P4/mbm, No. 127
size of the total moment = 0.0000 μB per atom

Cell lengths 6.8883, 6.8883, 2.6639 Å; angles 90.00, 90.00, 90.00 degrees
Last column: nearest neighbours and their distance in Å.
Fractional positions:
Pd: 0.0000 0.0000 0.0000  4 Nb 2.66, 2 Pd 2.66
Pd: 0.5000 0.5000 0.0000  4 Nb 2.66, 2 Pd 2.66
Nb: 0.6408 0.1408 0.0000  4 H 2.16
Nb: 0.8592 0.6408 0.0000  4 H 2.16
Nb: 0.3592 0.8592 0.0000  4 H 2.16
Nb: 0.1408 0.3592 0.0000  4 H 2.16
H: 0.8961 0.3961 0.5000  1 H 2.02, 4 Nb 2.16
H: 0.1039 0.6039 0.5000  1 H 2.02, 4 Nb 2.16
H: 0.3961 0.1039 0.5000  1 H 2.02, 4 Nb 2.16
H: 0.6039 0.8961 0.5000  1 H 2.02, 4 Nb 2.16

---

Record 2
Tc2PW: relaxed, GGA-PBE.

Values from the calculation:
energy relative to the elements = 0.240 eV per atom
symmetry = F-43m, No. 216
size of the total moment = 0.1685 μB per atom

Cell lengths 4.3337, 4.3337, 4.3337 Å; angles 60.00, 60.00, 60.00 degrees
Last column: nearest neighbours and their distance in Å.
Fractional positions:
Tc: 0.0000 0.0000 0.0000  4 W 2.65, 4 Tc 2.65
Tc: 0.7500 0.7500 0.7500  4 P 2.65, 4 Tc 2.65
W: 0.2500 0.2500 0.2500  4 P 2.65, 4 Tc 2.65
P: 0.5000 0.5000 0.5000  4 Tc 2.65, 4 W 2.65

---

Record 3
RbTiOs2: relaxed, GGA-PBE.

Values from the calculation:
offset from the most stable computed form = 0.234 eV per atom
energy relative to the elements = 1.525 eV per atom
symmetry = Fm-3m, No. 225
size of the total moment = 0.0000 μB per atom

Cell lengths 4.6509, 4.6509, 4.6509 Å; angles 60.00, 60.00, 60.00 degrees
Last column: nearest neighbours and their distance in Å.
Fractional positions:
Ti: 0.0000 0.0000 0.0000  8 Os 2.85
Os: 0.7500 0.7500 0.7500  4 Rb 2.85, 4 Ti 2.85
Os: 0.2500 0.2500 0.2500  4 Rb 2.85, 4 Ti 2.85
Rb: 0.5000 0.5000 0.5000  8 Os 2.85

---

Record 4
BaCrTc2: relaxed, GGA-PBE.

Values from the calculation:
offset from the most stable computed form = 0.821 eV per atom
energy relative to the elements = 1.377 eV per atom
symmetry = P4/mmm, No. 123
size of the total moment = 0.1651 μB per atom

Cell lengths 3.2617, 4.8423, 4.8423 Å; angles 90.00, 90.00, 90.00 degrees
Last column: nearest neighbours and their distance in Å.
Fractional positions:
Tc: 0.0000 0.0000 0.0000  4 Cr 2.92, 4 Ba 2.92, 2 Tc 3.26
Tc: 0.0000 0.5000 0.5000  4 Ba 2.92, 4 Cr 2.92, 2 Tc 3.26
Ba: 0.5000 0.5000 0.0000  8 Tc 2.92, 2 Ba 3.26
Cr: 0.5000 0.0000 0.5000  8 Tc 2.92, 2 Cr 3.26